Model a:
HfSbI2Br: relaxed, GGA-PBE.

Cell lengths 5.579, 5.579, 5.827 Å; angles 90.00, 90.00, 90.00 degrees
Space group P4/mmm (No. 123)
Asymmetric unit:
Hf1 0.000 0.000 0.000
Sb1 0.500 0.500 0.000
I1 0.000 0.500 0.500
Br1 0.500 0.500 0.500

***

Model b:
HfSbI2Br: relaxed, GGA-PBE.

Cell lengths 5.544, 5.544, 5.774 Å; angles 90.00, 90.00, 90.00 degrees
Space group P4/mmm (No. 123)
Asymmetric unit:
Hf1 0.000 0.000 0.000
Sb1 0.000 0.000 0.500
I1 0.000 0.500 0.000
Br1 0.500 0.500 0.500

***

Of them, the most stable is model b and the least stable is model a.

***

Model a:
HfTeI2Br: relaxed, GGA-PBE.

Cell lengths 5.589, 5.589, 5.954 Å; angles 90.00, 90.00, 90.00 degrees
Space group P4/mmm (No. 123)
Asymmetric unit:
Hf1 0.000 0.000 0.000
Te1 0.500 0.500 0.000
I1 0.000 0.500 0.500
Br1 0.500 0.500 0.500

***

Model b:
HfTeI2Br: relaxed, GGA-PBE.

Cell lengths 5.628, 5.628, 5.634 Å; angles 90.00, 90.00, 90.00 degrees
Space group P4/mmm (No. 123)
Asymmetric unit:
Hf1 0.000 0.000 0.000
Te1 0.000 0.000 0.500
I1 0.000 0.500 0.000
Br1 0.500 0.500 0.500

***

Of them, the most stable is model b and the least stable is model a.

***

Model a:
HfIn3Br: relaxed, GGA-PBE.

Cell lengths 5.461, 5.461, 5.461 Å; angles 90.00, 90.00, 90.00 degrees
Space group Pm-3m (No. 221)
Asymmetric unit:
Hf1 0.000 0.000 0.000
In1 0.000 0.500 0.500
Br1 0.500 0.500 0.500

***

Model b:
HfIn3Br: relaxed, GGA-PBE.

Cell lengths 5.755, 5.755, 5.755 Å; angles 90.00, 90.00, 90.00 degrees
Space group Pm-3m (No. 221)
Asymmetric unit:
Hf1 0.000 0.000 0.000
In1 0.000 0.000 0.500
Br1 0.500 0.500 0.500

***

Of them, the most stable is model b and the least stable is model a.